Mn2RuCl, relaxed, DFT PBE; crystal system = cubic; space group = Fm-3m; raw total energy = -25.55 eV/cell; offset from the most stable computed form = 931 meV per atom
1.0
0.000 2.950 2.950
2.950 0.000 2.950
2.950 2.950 0.000
Mn Ru Cl
2 1 1
direct
0.250 0.250 0.250 Mn
0.750 0.750 0.750 Mn
0.000 0.000 0.000 Ru
0.500 0.500 0.500 Cl